Below is a relaxed structure of TaMo, with properties calculated at the GGA-PBE level.

Geometry as POSCAR:
```
TaMo
1.0
3.223 0.000 0.000
0.000 3.223 0.000
0.000 0.000 13.032
Ta Mo
4 4
Cartesian
0.000 0.000 1.593 Ta
0.000 0.000 11.439 Ta
1.611 1.611 3.363 Ta
1.611 1.611 9.669 Ta
0.000 0.000 4.952 Mo
0.000 0.000 8.080 Mo
1.611 1.611 0.000 Mo
1.611 1.611 6.516 Mo
```

Values from the calculation:
Formation energy from the elements in eV/atom: -0.1360
ρ in g cm⁻³: 13.59
Total moment in μB per formula unit: 0.00


Below is a relaxed structure of LaNdIrPd, with properties calculated at the GGA-PBE level.

Geometry as POSCAR:
```
LaNdIrPd
1.0
0.000 3.603 3.603
3.603 0.000 3.603
3.603 3.603 0.000
La Nd Ir Pd
1 1 1 1
Cartesian
0.000 0.000 0.000 La
3.603 3.603 3.603 Nd
1.802 1.802 1.802 Ir
5.405 5.405 5.405 Pd
```

Values from the calculation:
Formation energy from the elements in eV/atom: -0.7053
ρ in g cm⁻³: 10.33
Total moment in μB per formula unit: 0.00
Relative energy among the computed polymorphs in eV/atom: 0.0526


Below is a relaxed structure of TbCeN, with properties calculated at the GGA-PBE level.

Geometry as POSCAR:
```
TbCeN
1.0
-2.380 2.380 3.918
2.380 -2.380 3.918
2.380 2.380 -3.918
Tb Ce N
1 1 1
Cartesian
0.000 0.000 0.000 Tb
0.000 0.000 3.771 Ce
0.000 0.000 5.758 N
```

Values from the calculation:
ρ in g cm⁻³: 5.86
Total moment in μB per formula unit: 0.85
Raw formation energy in eV per atom: 0.1669
Relative energy among the computed polymorphs in eV/atom: 1.1029


Below is a relaxed structure of Tb3Sm4Zn, with properties calculated at the GGA-PBE level.

Geometry as POSCAR:
```
Tb3Sm4Zn
1.0
3.615 0.000 0.000
0.000 3.615 0.000
0.000 0.000 18.832
Tb Sm Zn
3 4 1
Cartesian
0.000 0.000 0.000 Tb
0.000 0.000 5.030 Tb
0.000 0.000 13.802 Tb
1.807 1.807 2.525 Sm
1.807 1.807 7.597 Sm
1.807 1.807 11.235 Sm
1.807 1.807 16.307 Sm
0.000 0.000 9.416 Zn
```

Values from the calculation:
Formation energy from the elements in eV/atom: -0.0675
ρ in g cm⁻³: 7.72
Total moment in μB per formula unit: 0.00


Below is a relaxed structure of Co2CuRh9, with properties calculated at the GGA-PBE level.

Geometry as POSCAR:
```
Co2CuRh9
1.0
3.798 0.000 0.000
0.000 3.798 0.000
0.000 0.000 11.417
Co Cu Rh
2 1 9
Cartesian
0.000 0.000 1.930 Co
0.000 0.000 9.486 Co
0.000 0.000 5.708 Cu
0.000 1.899 0.000 Rh
0.000 1.899 3.770 Rh
0.000 1.899 7.647 Rh
1.899 0.000 0.000 Rh
1.899 0.000 3.770 Rh
1.899 0.000 7.647 Rh
1.899 1.899 1.888 Rh
1.899 1.899 5.708 Rh
1.899 1.899 9.529 Rh
```

Values from the calculation:
Formation energy from the elements in eV/atom: 0.0522
ρ in g cm⁻³: 11.17
Total moment in μB per formula unit: 7.92


Below is a relaxed structure of Nd2NiSn, with properties calculated at the GGA-PBE level.

Geometry as POSCAR:
```
Nd2NiSn
1.0
3.553 0.000 0.000
0.000 3.553 0.000
0.000 0.000 7.983
Nd Ni Sn
2 1 1
Cartesian
0.000 0.000 1.710 Nd
0.000 0.000 6.273 Nd
1.776 1.776 0.000 Ni
1.776 1.776 3.992 Sn
```

Values from the calculation:
Formation energy from the elements in eV/atom: -0.4346
ρ in g cm⁻³: 7.68
Total moment in μB per formula unit: 0.00
Relative energy among the computed polymorphs in eV/atom: 0.0000